Entry 1:
The following is a DFT calculation (PBE) of a geometry-optimized VRuAu structure.

Lattice parameters (Å, degrees): 2.995 2.995 10.190 90.00 90.00 90.00
Atoms (fractional coordinates):
V: 0.250 0.250 0.076
V: 0.750 0.750 0.924
Ru: 0.250 0.250 0.795
Ru: 0.750 0.750 0.205
Au: 0.250 0.250 0.401
Au: 0.750 0.750 0.599

Summary:
The calculation puts the energy above the lowest structure with this stoichiometry at 0.00 eV per formula unit. The calculation puts the formation energy at -115 meV per atom. The calculation puts the uncorrected energy at -0.2697 hartree per atom. As for the symmetry: P4/nmm. The value obtained for the density of states at the Fermi level is 3.73 states/eV per cell. The calculated volume comes out at 15.2 A^3/atom.

=====

Entry 2:
The following is a DFT calculation (PBE) of a geometry-optimized SmYPa structure.

Lattice parameters (Å, degrees): 3.451 3.451 8.643 90.00 90.00 120.00
Atoms (fractional coordinates):
Sm: 0.000 0.000 0.000
Y: 0.667 0.333 0.363
Pa: 0.333 0.667 0.681

Summary:
The calculation puts the energy above the lowest structure with this stoichiometry at 0.00 eV per formula unit. The calculation puts the formation energy at 150 meV per atom. The calculation puts the uncorrected energy at -0.2478 hartree per atom. As for the symmetry: P3m1. The value obtained for the density of states at the Fermi level is 4.58 states/eV per cell. The calculated volume comes out at 29.7 A^3/atom.

=====

Entry 3:
The following is a DFT calculation (PBE) of a geometry-optimized K2TaSi structure.

Lattice parameters (Å, degrees): 5.666 12.392 3.018 90.00 118.44 90.00
Atoms (fractional coordinates):
K: 0.250 0.250 0.000
K: 0.250 0.750 0.000
K: 0.750 0.250 0.000
K: 0.750 0.750 0.000
Ta: 0.000 0.000 0.500
Ta: 0.500 0.500 0.500
Si: 0.000 0.500 0.500
Si: 0.500 0.000 0.500

Summary:
The calculation puts the uncorrected energy at -0.1417 hartree per atom. As for the symmetry: C2/m. The value obtained for the density of states at the Fermi level is 6.77 states/eV per cell. The calculated volume comes out at 23.3 A^3/atom.

=====

Entry 4:
The following is a DFT calculation (PBE) of a geometry-optimized Ba2ZnIn3Hg4 structure.

Lattice parameters (Å, degrees): 4.917 4.917 12.047 90.00 90.00 90.00
Atoms (fractional coordinates):
Ba: 0.000 0.500 0.248
Ba: 0.500 0.000 0.752
Zn: 0.500 0.500 0.000
In: 0.000 0.000 0.000
In: 0.000 0.500 0.636
In: 0.500 0.000 0.364
Hg: 0.000 0.000 0.500
Hg: 0.000 0.500 0.875
Hg: 0.500 0.000 0.125
Hg: 0.500 0.500 0.500

Summary:
The calculation puts the formation energy at -331 meV per atom. The calculation puts the uncorrected energy at -0.0656 hartree per atom. As for the symmetry: P-4m2. The value obtained for the density of states at the Fermi level is 5.22 states/eV per cell. The calculated volume comes out at 29.1 A^3/atom.

=====

Entry 5:
The following is a DFT calculation (PBE) of a geometry-optimized MgFeRu structure.

Lattice parameters (Å, degrees): 6.531 4.025 6.833 90.00 90.00 90.00
Atoms (fractional coordinates):
Mg: 0.008 0.250 0.177
Mg: 0.492 0.750 0.677
Mg: 0.508 0.250 0.323
Mg: 0.992 0.750 0.823
Fe: 0.181 0.750 0.404
Fe: 0.319 0.250 0.904
Fe: 0.681 0.750 0.096
Fe: 0.819 0.250 0.596
Ru: 0.170 0.250 0.588
Ru: 0.330 0.750 0.088
Ru: 0.670 0.250 0.912
Ru: 0.830 0.750 0.412

Summary:
The calculation puts the energy above the lowest structure with this stoichiometry at 0.23 eV per formula unit. The calculation puts the formation energy at 134 meV per atom. The calculation puts the uncorrected energy at -0.2319 hartree per atom. As for the symmetry: Pnma. The value obtained for the density of states at the Fermi level is 9.03 states/eV per cell. The calculated volume comes out at 15.0 A^3/atom.

=====

Entry 6:
The following is a DFT calculation (PBE) of a geometry-optimized LaZrSi3 structure.

Lattice parameters (Å, degrees): 5.001 5.001 5.001 90.00 90.00 90.00
Atoms (fractional coordinates):
La: 0.000 0.000 0.000
Zr: 0.500 0.500 0.500
Si: 0.000 0.500 0.500
Si: 0.500 0.000 0.500
Si: 0.500 0.500 0.000

Summary:
The calculation puts the energy above the lowest structure with this stoichiometry at 0.00 eV per formula unit. The calculation puts the uncorrected energy at -0.2186 hartree per atom. As for the symmetry: Pm-3m. The value obtained for the density of states at the Fermi level is 6.94 states/eV per cell. The calculated volume comes out at 25.0 A^3/atom.

=====

Entry 7:
The following is a DFT calculation (PBE) of a geometry-optimized Cr2InNi structure.

Lattice parameters (Å, degrees): 4.983 8.584 2.631 90.00 101.41 90.00
Atoms (fractional coordinates):
Cr: 0.250 0.250 0.000
Cr: 0.250 0.750 0.000
Cr: 0.750 0.250 0.000
Cr: 0.750 0.750 0.000
In: 0.000 0.000 0.500
In: 0.500 0.500 0.500
Ni: 0.000 0.500 0.500
Ni: 0.500 0.000 0.500

Summary:
The calculation puts the formation energy at 478 meV per atom. The calculation puts the uncorrected energy at -0.2375 hartree per atom. As for the symmetry: C2/m. The value obtained for the density of states at the Fermi level is 9.13 states/eV per cell. The calculated volume comes out at 13.8 A^3/atom.

=====

Entry 8:
The following is a DFT calculation (PBE) of a geometry-optimized Pr3IrBr2 structure.

Lattice parameters (Å, degrees): 4.097 6.115 14.524 90.00 90.00 90.00
Atoms (fractional coordinates):
Pr: 0.000 0.000 0.000
Pr: 0.000 0.000 0.371
Pr: 0.000 0.000 0.629
Pr: 0.500 0.500 0.129
Pr: 0.500 0.500 0.500
Pr: 0.500 0.500 0.871
Ir: 0.000 0.500 0.000
Ir: 0.500 0.000 0.500
Br: 0.000 0.500 0.320
Br: 0.000 0.500 0.680
Br: 0.500 0.000 0.180
Br: 0.500 0.000 0.820

Summary:
The calculation puts the uncorrected energy at -0.2030 hartree per atom. As for the symmetry: Immm. The value obtained for the density of states at the Fermi level is 9.48 states/eV per cell. The calculated volume comes out at 30.3 A^3/atom.